(1)
Density functional theory data (PBE) for crystalline Sm3Pb2I2 at its relaxed geometry.

Summary:
Density of states at the Fermi level ... 0.6469 states/eV per atom
Formation energy without anion corrections ... -0.58 eV per atom
SG ... P-1 (2)
Total magnetic moment ... 0.000 μB/f.u.

Cell lengths 3.858, 7.816, 8.109 Å; angles 78.92, 89.93, 75.74 degrees
Atoms (fractional coordinates):
Sm 0.000 0.000 0.000
Sm 0.273 0.455 0.710
Sm 0.727 0.545 0.290
Pb 0.081 0.836 0.408
Pb 0.919 0.164 0.592
I 0.356 0.287 0.109
I 0.644 0.713 0.891



(2)
Density functional theory data (PBE) for crystalline Sm2PbI at its relaxed geometry.

Summary:
Density of states at the Fermi level ... 0.7862 states/eV per atom
Formation energy without anion corrections ... -0.63 eV per atom
Energy above the lowest structure with this stoichiometry ... 0.082 eV per atom
SG ... P4/mmm (123)
Total magnetic moment ... 0.000 μB/f.u.

Cell lengths 3.712, 3.712, 8.486 Å; angles 90.00, 90.00, 90.00 degrees
Atoms (fractional coordinates):
Sm 0.000 0.000 0.249
Sm 0.000 0.000 0.751
Pb 0.500 0.500 0.000
I 0.500 0.500 0.500